First-principles (GGA+U) data for a relaxed structure of NaMg4V3O12, as listed in Alexandria via LeMat-Bulk.

Properties
Electronic total energy (eV/atom): -6.78
SG: No. 122

a b c (Å): 6.9692 6.9692 10.9188
angles (deg): 108.61 108.61 90.00
Last column: nearest neighbours and their distance in Å.
Positions (direct):
Na1 0.7500 0.2500 0.5000  4 O 2.39
Na2 0.5000 0.5000 0.0000  4 O 2.39
Mg1 0.0243 0.5243 0.0486  6 O 2.11-2.16
Mg2 0.4757 0.9757 0.9514  6 O 2.11-2.16
Mg3 0.2257 0.2257 0.4514  6 O 2.11-2.16
Mg4 0.7743 0.7743 0.5486  6 O 2.11-2.16
Mg5 0.8835 0.8750 0.2500  6 O 2.04-2.19
Mg6 0.1250 0.6335 0.7500  6 O 2.04-2.19
Mg7 0.6250 0.1165 0.7500  6 O 2.04-2.19
Mg8 0.3665 0.3750 0.2500  6 O 2.04-2.19
V1 0.2500 0.7500 0.5000  4 O 1.75
V2 0.0000 0.0000 0.0000  4 O 1.75
V3 0.7768 0.3750 0.2500  4 O 1.75-1.76
V4 0.6250 0.5268 0.7500  4 O 1.75-1.76
V5 0.1250 0.2232 0.7500  4 O 1.75-1.76
V6 0.4732 0.8750 0.2500  4 O 1.75-1.76
O1 0.1494 0.9123 0.4084  1 V 1.75
O2 0.0877 0.7410 0.5916  1 V 1.75
O3 0.5039 0.8506 0.5916  1 V 1.75
O4 0.1006 0.2539 0.0916  1 V 1.75
O5 0.9910 0.8377 0.0916  1 V 1.75
O6 0.2590 0.4961 0.4084  1 V 1.75
O7 0.7461 0.0090 0.9084  1 V 1.75
O8 0.1623 0.8994 0.9084  1 V 1.75
O9 0.9236 0.1936 0.3046  1 V 1.76
O10 0.8064 0.6190 0.6954  1 V 1.76
O11 0.8891 0.0764 0.6954  1 V 1.76
O12 0.3264 0.6391 0.1954  1 V 1.76
O13 0.8690 0.5564 0.1954  1 V 1.76
O14 0.3810 0.1109 0.3046  1 V 1.76
O15 0.3609 0.1310 0.8046  1 V 1.76
O16 0.4436 0.6736 0.8046  1 V 1.76
O17 0.7004 0.8898 0.3823  1 V 1.75
O18 0.1102 0.3181 0.6177  1 V 1.75
O19 0.5075 0.2996 0.6177  1 V 1.75
O20 0.5496 0.2575 0.1177  1 V 1.75
O21 0.5681 0.8602 0.1177  1 V 1.75
O22 0.6819 0.4925 0.3823  1 V 1.75
O23 0.7425 0.4319 0.8823  1 V 1.75
O24 0.1398 0.4504 0.8823  1 V 1.75